[1]
A plane-wave DFT calculation with PBE was carried out for crystalline PaHAu at its relaxed geometry.

Calculated values
- Magnetization: 0.000 μB per atom
- Mass density: 13.22 g/cm³
- V: 54 Å³/f.u.
- DFT total energy: -0.391 Ry per atom

abc: 3.1532 6.0799 6.8092
angles: 120.94 103.39 90.00
With the nearest neighbours (Å) after each atom.
Fractional coordinates of all 6 atoms:
Pa 0.8280 0.9137 0.6559  2 H 2.23-2.24
Pa 0.1720 0.0863 0.3441  2 H 2.23-2.24
Au 0.1128 0.5222 0.2255  1 H 1.82
Au 0.8872 0.4778 0.7745  1 H 1.82
H 0.9732 0.8308 0.9464  1 H 1.79, 1 Au 1.82
H 0.0268 0.1692 0.0536  1 H 1.79, 1 Au 1.82

***

[2]
A plane-wave DFT calculation with PBE was carried out for crystalline RbLi3N at its relaxed geometry.

Calculated values
- Magnetization: 0.000 μB per atom
- Mass density: 1.71 g/cm³
- Uncorrected formation energy: 874.7 kJ/mol of formula units
- V: 117 Å³/f.u.
- DFT total energy: -0.088 Ry per atom

abc: 4.8895 4.8895 4.8895
angles: 90.00 90.00 90.00
With the nearest neighbours (Å) after each atom.
Fractional coordinates of all 5 atoms:
Li 0.0000 0.5000 0.0000  2 Rb 2.44
Li 0.5000 0.0000 0.0000  2 Rb 2.44
Li 0.0000 0.0000 0.5000  2 Rb 2.44
N 0.5000 0.5000 0.5000  12 Li 3.46
Rb 0.0000 0.0000 0.0000  6 Li 2.44

***

[3]
A plane-wave DFT calculation with PBE was carried out for crystalline CaIn9Pd2 at its relaxed geometry.

Calculated values
- Magnetization: 0.000 μB per atom
- Mass density: 7.29 g/cm³
- V: 293 Å³/f.u.
- DFT total energy: -0.242 Ry per atom
- ΔH_f (0 K): -2.518 eV per formula unit

abc: 7.3202 9.6683 9.6683
angles: 81.76 67.75 67.75
With the nearest neighbours (Å) after each atom.
Fractional coordinates of all 24 atoms:
Pd 0.3750 0.7500 0.7500  8 In 2.89-2.99
Pd 0.8750 0.2500 0.7500  8 In 2.89-2.99
Pd 0.8750 0.2500 0.2500  8 In 2.89-2.99
Pd 0.8750 0.7500 0.2500  8 In 2.89-2.99
In 0.9769 0.6967 0.9384  2 Pd 2.89-2.99, 6 In 3.01-3.20
In 0.7500 0.5000 0.5000  8 In 3.15, 4 Pd 3.29
In 0.9769 0.9384 0.6967  2 Pd 2.89-2.99, 6 In 3.01-3.20
In 0.0000 0.0000 0.0000  8 In 3.15, 4 Pd 3.29
In 0.6120 0.3033 0.0616  2 Pd 2.89-2.99, 6 In 3.01-3.20
In 0.7731 0.5616 0.8033  2 Pd 2.89-2.99, 6 In 3.01-3.20
In 0.1380 0.1967 0.4384  2 Pd 2.89-2.99, 6 In 3.01-3.20
In 0.0846 0.9384 0.3033  2 Pd 2.89-2.99, 6 In 3.01-3.20
In 0.3264 0.6967 0.0616  2 Pd 2.89-2.99, 6 In 3.01-3.20
In 0.0846 0.3033 0.9384  2 Pd 2.89-2.99, 6 In 3.01-3.20
In 0.4236 0.8033 0.4384  2 Pd 2.89-2.99, 6 In 3.01-3.20
In 0.6654 0.1967 0.5616  2 Pd 2.89-2.99, 6 In 3.01-3.20
In 0.7731 0.8033 0.5616  2 Pd 2.89-2.99, 6 In 3.01-3.20
In 0.4236 0.4384 0.8033  2 Pd 2.89-2.99, 6 In 3.01-3.20
In 0.6654 0.5616 0.1967  2 Pd 2.89-2.99, 6 In 3.01-3.20
In 0.1380 0.4384 0.1967  2 Pd 2.89-2.99, 6 In 3.01-3.20
In 0.3264 0.0616 0.6967  2 Pd 2.89-2.99, 6 In 3.01-3.20
In 0.6120 0.0616 0.3033  2 Pd 2.89-2.99, 6 In 3.01-3.20
Ca 0.5000 0.0000 0.0000  10 In 3.51-3.66
Ca 0.2500 0.5000 0.5000  10 In 3.51-3.66